Below is a geometry-optimized PuMgCdSb structure, with properties calculated at the PBE level.

Output
ΔE_f (raw), kJ per mole of atoms: -20
E, eV per atom: -5.453

a = 7.3911 Å, b = 7.3911 Å, c = 7.3911 Å
α = 90.00°, β = 90.00°, γ = 90.00°
Closest atoms and distances in Å follow each position.
Space group F-43m (No. 216)
Symmetry-distinct sites (fractional):
Pu  0.0000  0.0000  0.0000  4 Sb 3.20, 4 Cd 3.20
Mg  0.0000  0.0000  0.5000  4 Cd 3.20, 4 Sb 3.20
Cd  0.2500  0.2500  0.7500  4 Mg 3.20, 4 Pu 3.20
Sb  0.2500  0.2500  0.2500  4 Mg 3.20, 4 Pu 3.20


Below is a geometry-optimized NaNb3Re structure, with properties calculated at the PBE level.

Output
Calculated formation energy, eV per formula unit: 5.577
E, eV per atom: -7.680
Distance to the lowest polymorph of the same formula, eV/atom: 0.000

a = 4.9362 Å, b = 4.9362 Å, c = 4.9362 Å
α = 90.00°, β = 90.00°, γ = 90.00°
Closest atoms and distances in Å follow each position.
Space group Pm-3m (No. 221)
Symmetry-distinct sites (fractional):
Na  0.0000  0.0000  0.0000  12 Nb 3.49
Nb  0.0000  0.5000  0.5000  2 Re 2.47
Re  0.5000  0.5000  0.5000  6 Nb 2.47


Below is a geometry-optimized Pm5AgSn6 structure, with properties calculated at the PBE level.

Output
Calculated formation energy, eV per formula unit: -7.065
E, eV per atom: -4.807

a = 4.7927 Å, b = 9.0948 Å, c = 15.0572 Å
α = 90.00°, β = 90.00°, γ = 90.00°
Closest atoms and distances in Å follow each position.
Space group Immm (No. 71)
Symmetry-distinct sites (fractional):
Pm  0.0000  0.0000  0.0000  8 Sn 3.29-3.42, 4 Pm 3.48
Pm  0.0000  0.0000  0.3538  6 Sn 3.18-3.33, 2 Ag 3.25
Pm  0.0000  0.5000  0.3327  8 Sn 3.30-3.38, 2 Pm 3.48
Ag  0.0000  0.5000  0.0000  4 Pm 3.25, 8 Sn 3.32-3.43
Sn  0.0000  0.2488  0.1701  7 Pm 3.30-3.57, 4 Sn 3.40-3.51, 1 Ag 3.43
Sn  0.0000  0.2526  0.5000  6 Pm 3.18-3.38, 2 Ag 3.32, 4 Sn 3.51


Below is a geometry-optimized HoTh5S6 structure, with properties calculated at the PBE level.

Output
ΔE_f (raw), kJ per mole of atoms: -179
E, eV per atom: -7.393

a = 6.9704 Å, b = 12.0351 Å, c = 6.9593 Å
α = 90.00°, β = 109.39°, γ = 90.00°
Closest atoms and distances in Å follow each position.
Space group C2/m (No. 12)
Symmetry-distinct sites (fractional):
Ho  0.0000  0.0000  0.0000  6 S 2.76-2.78
Th  0.0000  0.1703  0.5000  6 S 2.85-2.89
Th  0.0000  0.3335  0.0000  6 S 2.84-2.86
Th  0.0000  0.5000  0.5000  6 S 2.85-2.90
S  0.2415  0.0000  0.7525  1 Ho 2.78, 5 Th 2.86-2.90
S  0.2425  0.1620  0.2421  1 Ho 2.76, 5 Th 2.84-2.89


Below is a geometry-optimized TbCrSi structure, with properties calculated at the PBE level.

Output
ΔE_f (raw), kJ per mole of atoms: -39
E, eV per atom: -6.961

a = 3.8118 Å, b = 3.8118 Å, c = 7.5584 Å
α = 90.00°, β = 90.00°, γ = 90.00°
Closest atoms and distances in Å follow each position.
Space group P4/nmm (No. 129, origin choice 2)
Symmetry-distinct sites (fractional):
Tb  0.2500  0.2500  0.1547  4 Si 2.89, 4 Cr 3.23
Cr  0.2500  0.7500  0.5000  4 Si 2.46, 4 Cr 2.70
Si  0.2500  0.2500  0.7062  4 Cr 2.46


Below is a geometry-optimized Tl4CdIn structure, with properties calculated at the PBE level.

Output
Calculated formation energy, eV per formula unit: 0.204
E, eV per atom: -2.153
Distance to the lowest polymorph of the same formula, eV/atom: 0.000

a = 14.2529 Å, b = 14.2529 Å, c = 14.2529 Å
α = 90.00°, β = 90.00°, γ = 90.00°
Closest atoms and distances in Å follow each position.
Space group F-43m (No. 216)
Symmetry-distinct sites (fractional):
Tl  0.0000  0.0000  0.1860  2 In 3.33, 2 Cd 3.68, 2 Tl 3.68
Tl  0.0627  0.2500  0.7500  2 Cd 3.27
Tl  0.1209  0.1209  0.3791  3 Cd 3.06, 3 In 3.18
Cd  0.0887  0.0887  0.5887  6 Tl 3.06-3.27
In  0.1646  0.1646  0.1646  6 Tl 3.18-3.33, 3 In 3.44


Below is a geometry-optimized Na2AgO structure, with properties calculated at the PBE level.

Output
ΔE_f (raw), kJ per mole of atoms: -51
E, eV per atom: -3.137

a = 9.0392 Å, b = 9.0392 Å, c = 4.5255 Å
α = 90.00°, β = 90.00°, γ = 90.00°
Closest atoms and distances in Å follow each position.
Space group I-42d (No. 122)
Symmetry-distinct sites (fractional):
Na  0.0522  0.2500  0.1250  2 O 2.38
Ag  0.0000  0.0000  0.5000  2 O 2.26
O  0.0000  0.0000  0.0000  2 Ag 2.26, 4 Na 2.38


Below is a geometry-optimized RbGaIO2 structure, with properties calculated at the PBE level.

Output
ΔE_f (raw), kJ per mole of atoms: 32
E, eV per atom: -2.760
Distance to the lowest polymorph of the same formula, eV/atom: 0.858

a = 5.0849 Å, b = 5.0849 Å, c = 7.5869 Å
α = 90.00°, β = 90.00°, γ = 90.00°
Closest atoms and distances in Å follow each position.
Space group P4/mmm (No. 123)
Symmetry-distinct sites (fractional):
Rb  0.0000  0.0000  0.0000  4 O 2.54
Ga  0.5000  0.5000  0.5000  4 I 3.60
I  0.0000  0.0000  0.5000  4 Ga 3.60, 2 Rb 3.79
O  0.0000  0.5000  0.0000  2 Rb 2.54


Below is a geometry-optimized SrYAg3 structure, with properties calculated at the PBE level.

Output
Calculated formation energy, eV per formula unit: 1.350
E, eV per atom: -3.070
Distance to the lowest polymorph of the same formula, eV/atom: 0.000

a = 5.4873 Å, b = 5.4873 Å, c = 5.4873 Å
α = 90.00°, β = 90.00°, γ = 90.00°
Closest atoms and distances in Å follow each position.
Space group Pm-3m (No. 221)
Symmetry-distinct sites (fractional):
Sr  0.0000  0.0000  0.0000  12 Ag 3.88
Y  0.5000  0.5000  0.5000  6 Ag 2.74
Ag  0.0000  0.5000  0.5000  2 Y 2.74


Below is a geometry-optimized TiCo2B4 structure, with properties calculated at the PBE level.

Output
Calculated formation energy, eV per formula unit: -4.385
E, eV per atom: -7.600

a = 2.9976 Å, b = 3.0889 Å, c = 12.3357 Å
α = 90.00°, β = 90.00°, γ = 90.00°
Closest atoms and distances in Å follow each position.
Space group Immm (No. 71)
Symmetry-distinct sites (fractional):
Ti  0.0000  0.0000  0.0000  12 B 2.33-2.41
Co  0.0000  0.5000  0.3147  7 B 2.04-2.20
B  0.0000  0.0000  0.4271  3 B 1.77-1.80
B  0.0000  0.5000  0.1495  2 B 1.77


Below is a geometry-optimized TbCd2I8 structure, with properties calculated at the PBE level.

Output
ΔE_f (raw), kJ per mole of atoms: -74
E, eV per atom: -2.479

a = 12.1936 Å, b = 13.0407 Å, c = 6.9562 Å
α = 90.00°, β = 94.28°, γ = 90.00°
Closest atoms and distances in Å follow each position.
Space group C2/m (No. 12)
Symmetry-distinct sites (fractional):
Tb  0.0000  0.0000  0.0000  6 I 3.05-3.06
Cd  0.2384  0.0000  0.6622  4 I 2.84
I  0.0299  0.5000  0.2542  1 Cd 2.84
I  0.1103  0.1685  0.7754  1 Cd 2.84, 1 Tb 3.06
I  0.2157  0.0000  0.2528  1 Cd 2.84, 1 Tb 3.05


Below is a geometry-optimized K2SnCl6 structure, with properties calculated at the PBE level.

Output
ΔE_f (raw), kJ per mole of atoms: -140
E, eV per atom: -3.371
Distance to the lowest polymorph of the same formula, eV/atom: 0.012

a = 10.2270 Å, b = 10.2270 Å, c = 10.2270 Å
α = 90.00°, β = 90.00°, γ = 90.00°
Closest atoms and distances in Å follow each position.
Space group Fm-3m (No. 225)
Symmetry-distinct sites (fractional):
K  0.2500  0.2500  0.2500  12 Cl 3.62
Sn  0.0000  0.0000  0.0000  6 Cl 2.47
Cl  0.0000  0.0000  0.2412  1 Sn 2.47


Below is a geometry-optimized PrErZnIn structure, with properties calculated at the PBE level.

Output
Calculated formation energy, eV per formula unit: -1.624
E, eV per atom: -3.745
Distance to the lowest polymorph of the same formula, eV/atom: 0.000

a = 3.6879 Å, b = 3.6879 Å, c = 7.5967 Å
α = 90.00°, β = 90.00°, γ = 90.00°
Closest atoms and distances in Å follow each position.
Space group P4mm (No. 99)
Symmetry-distinct sites (fractional):
Pr  0.0000  0.0000  0.0000  4 Zn 3.25, 4 In 3.39, 1 Er 3.50
Er  0.0000  0.0000  0.4610  4 Zn 3.04, 4 In 3.24
Zn  0.5000  0.5000  0.2562  4 Er 3.04, 4 Pr 3.25
In  0.5000  0.5000  0.7139  4 Er 3.24, 4 Pr 3.39, 1 Zn 3.48


Below is a geometry-optimized Sm2Y6Tm3Pu structure, with properties calculated at the PBE level.

Output
Calculated formation energy, eV per formula unit: 0.650
E, eV per atom: -6.277

a = 6.1512 Å, b = 10.6581 Å, c = 11.7247 Å
α = 90.00°, β = 100.11°, γ = 90.00°
Closest atoms and distances in Å follow each position.
Space group C2/m (No. 12)
Symmetry-distinct sites (fractional):
Sm  0.0000  0.1666  0.0000  3 Sm 3.55, 3 Pu 3.55, 6 Y 3.56
Y  0.2457  0.5000  0.7487  6 Y 3.51-3.57, 3 Tm 3.52-3.54, 1 Pu 3.54, 2 Sm 3.56
Y  0.2488  0.3352  0.2512  6 Y 3.51-3.57, 3 Tm 3.52-3.54, 1 Pu 3.54, 2 Sm 3.56
Tm  0.0000  0.0000  0.5000  6 Y 3.52-3.54, 6 Tm 3.55
Tm  0.0000  0.3331  0.5000  6 Y 3.52-3.54, 6 Tm 3.55-3.56
Pu  0.0000  0.5000  0.0000  6 Y 3.54, 6 Sm 3.55


Below is a geometry-optimized Cs2ScGeTe4 structure, with properties calculated at the PBE level.

Output
ΔE_f (raw), kJ per mole of atoms: -79
E, eV per atom: -3.968

a = 6.9508 Å, b = 15.5168 Å, c = 27.5637 Å
α = 90.00°, β = 90.00°, γ = 90.00°
Closest atoms and distances in Å follow each position.
Space group Fddd (No. 70, origin choice 2)
Symmetry-distinct sites (fractional):
Cs  0.1250  0.1250  0.3054  8 Te 4.12-4.22
Sc  0.1250  0.1250  0.1250  4 Te 2.79
Ge  0.1250  0.1250  0.6250  4 Te 2.75
Te  0.1207  0.2742  0.8210  1 Ge 2.75, 1 Sc 2.79


Below is a geometry-optimized TcRu2Se structure, with properties calculated at the PBE level.

Output
ΔE_f (raw), kJ per mole of atoms: 39
E, eV per atom: -7.699

a = 3.8925 Å, b = 3.8925 Å, c = 7.6846 Å
α = 90.00°, β = 90.00°, γ = 90.00°
Closest atoms and distances in Å follow each position.
Space group I4/mmm (No. 139)
Symmetry-distinct sites (fractional):
Tc  0.0000  0.0000  0.0000  8 Ru 2.73, 4 Se 2.75
Ru  0.0000  0.5000  0.2500  4 Se 2.73, 4 Tc 2.73, 4 Ru 2.75
Se  0.0000  0.0000  0.5000  8 Ru 2.73, 4 Tc 2.75


Below is a geometry-optimized AlCdFeS2 structure, with properties calculated at the PBE level.

Output
ΔE_f (raw), kJ per mole of atoms: 58
E, eV per atom: -3.673

a = 4.5322 Å, b = 4.5322 Å, c = 5.5757 Å
α = 90.00°, β = 90.00°, γ = 90.00°
Closest atoms and distances in Å follow each position.
Space group P4/mmm (No. 123)
Symmetry-distinct sites (fractional):
Al  0.0000  0.0000  0.0000  4 S 2.27
Cd  0.0000  0.0000  0.5000  2 Al 2.79
Fe  0.5000  0.5000  0.5000  4 Cd 3.20
S  0.0000  0.5000  0.0000  2 Al 2.27


Below is a geometry-optimized ScAlOs3 structure, with properties calculated at the PBE level.

Output
Calculated formation energy, eV per formula unit: 10.691
E, eV per atom: -6.614
Distance to the lowest polymorph of the same formula, eV/atom: 1.194

a = 4.6094 Å, b = 4.6094 Å, c = 4.6094 Å
α = 90.00°, β = 90.00°, γ = 90.00°
Closest atoms and distances in Å follow each position.
Space group Pm-3m (No. 221)
Symmetry-distinct sites (fractional):
Sc  0.0000  0.0000  0.0000  6 Os 2.30
Al  0.5000  0.5000  0.5000  12 Os 3.26
Os  0.0000  0.0000  0.5000  2 Sc 2.30


Below is a geometry-optimized Ba4LiCa structure, with properties calculated at the PBE level.

Output
Calculated formation energy, eV per formula unit: 0.845
E, eV per atom: -1.793
Distance to the lowest polymorph of the same formula, eV/atom: 0.108

a = 13.3879 Å, b = 4.1409 Å, c = 12.8711 Å
α = 90.00°, β = 114.73°, γ = 90.00°
Closest atoms and distances in Å follow each position.
Space group C2/m (No. 12)
Symmetry-distinct sites (fractional):
Ba  0.1469  0.0000  0.3508  3 Li 3.87-4.29, 1 Ca 4.10, 5 Ba 4.14-4.22
Ba  0.1632  0.5000  0.8330  1 Li 3.91, 3 Ca 4.10-4.20, 5 Ba 4.14-4.35
Li  0.0000  0.5000  0.5000  8 Ba 3.87-4.29, 2 Li 4.14
Ca  0.0000  0.0000  0.0000  8 Ba 4.10-4.20, 2 Ca 4.14


Below is a geometry-optimized DyTh2Ge structure, with properties calculated at the PBE level.

Output
Calculated formation energy, eV per formula unit: -1.070
E, eV per atom: -6.282
Distance to the lowest polymorph of the same formula, eV/atom: 0.000

a = 4.7165 Å, b = 4.7165 Å, c = 4.8641 Å
α = 90.00°, β = 90.00°, γ = 90.00°
Closest atoms and distances in Å follow each position.
Space group P4/mmm (No. 123)
Symmetry-distinct sites (fractional):
Dy  0.0000  0.0000  0.0000  4 Ge 3.34, 8 Th 3.39
Th  0.0000  0.5000  0.5000  4 Th 3.34, 4 Ge 3.39, 4 Dy 3.39
Ge  0.5000  0.5000  0.0000  4 Dy 3.34, 8 Th 3.39